A plane-wave DFT calculation with PBE was carried out for an optimized crystal structure of Ba2NiSn4Pd3.

Structure (POSCAR):
```
Ba2NiSn4Pd3
1.0
4.7413 0.0000 0.0000
0.0000 4.7413 0.0000
0.0000 0.0000 10.9794
Ba Ni Sn Pd
2 1 4 3
Direct
0.0000 0.5000 0.2445
0.5000 0.0000 0.7555
0.5000 0.5000 0.0000
0.0000 0.0000 0.5000
0.0000 0.5000 0.8881
0.5000 0.0000 0.1119
0.5000 0.5000 0.5000
0.0000 0.0000 0.0000
0.0000 0.5000 0.6325
0.5000 0.0000 0.3675
```

Results
- Density: 7.59 g/cm³
- Total moment: 0.00 Bohr magnetons per cell
- Electronic total energy: -4.74 eV per atom